{
  "formula": "La3Ni5Se12",
  "functional": "PBE",
  "state": "relaxed",
  "cell": [[-1.5436, -0.7588, 13.3183], [-1.2670, -12.2483, -5.3581], [12.1874, 4.8820, -2.8228]],
  "species": ["Ni", "Ni", "Ni", "Ni", "Ni", "Ni", "Ni", "Ni", "Ni", "Ni", "Ni", "Ni", "Ni", "Ni", "Ni", "Ni", "Ni", "Ni", "Ni", "Ni", "Se", "Se", "Se", "Se", "Se", "Se", "Se", "Se", "Se", "Se", "Se", "Se", "Se", "Se", "Se", "Se", "Se", "Se", "Se", "Se", "Se", "Se", "Se", "Se", "Se", "Se", "Se", "Se", "Se", "Se", "Se", "Se", "Se", "Se", "Se", "Se", "Se", "Se", "Se", "Se", "Se", "Se", "Se", "Se", "Se", "Se", "Se", "Se", "La", "La", "La", "La", "La", "La", "La", "La", "La", "La", "La", "La"],
  "frac_coords": [[0.6250, 0.7500, 0.8750], [0.0000, 0.0000, 0.0000], [0.5000, 0.0000, 0.0000], [0.7500, 0.1250, 0.8750], [0.6250, 0.8750, 0.2500], [0.1250, 0.7500, 0.3750], [0.0000, 0.5000, 0.0000], [0.5000, 0.5000, 0.0000], [0.2500, 0.3750, 0.6250], [0.8750, 0.2500, 0.6250], [0.8750, 0.6250, 0.7500], [0.5000, 0.0000, 0.5000], [0.3750, 0.1250, 0.7500], [0.3750, 0.2500, 0.1250], [0.7500, 0.6250, 0.3750], [0.0000, 0.0000, 0.5000], [0.2500, 0.8750, 0.1250], [0.0000, 0.5000, 0.5000], [0.1250, 0.3750, 0.2500], [0.5000, 0.5000, 0.5000], [0.3021, 0.8882, 0.9800], [0.4800, 0.6778, 0.0918], [0.0918, 0.9139, 0.1118], [0.6778, 0.1979, 0.5861], [0.5861, 0.8882, 0.4082], [0.8222, 0.9082, 0.0200], [0.1118, 0.6979, 0.5200], [0.5918, 0.6118, 0.4139], [0.6118, 0.0200, 0.1979], [0.3882, 0.4082, 0.0861], [0.5200, 0.1979, 0.1118], [0.8222, 0.9139, 0.3021], [0.0918, 0.1778, 0.4800], [0.9082, 0.8222, 0.5200], [0.6778, 0.4800, 0.5918], [0.9139, 0.8222, 0.8021], [0.5861, 0.6979, 0.6778], [0.0200, 0.4082, 0.8222], [0.5918, 0.9800, 0.6778], [0.9082, 0.0861, 0.8882], [0.6979, 0.1118, 0.0200], [0.8021, 0.3222, 0.9139], [0.8882, 0.3021, 0.4800], [0.3222, 0.8021, 0.4139], [0.1778, 0.0918, 0.9800], [0.0861, 0.9082, 0.3882], [0.0861, 0.1778, 0.1979], [0.4139, 0.3021, 0.3222], [0.4800, 0.8021, 0.8882], [0.3021, 0.4139, 0.8222], [0.1979, 0.5200, 0.6118], [0.4139, 0.1118, 0.5918], [0.5200, 0.3222, 0.9082], [0.1979, 0.6778, 0.0861], [0.9800, 0.3882, 0.3021], [0.6118, 0.5918, 0.9139], [0.9800, 0.5918, 0.1778], [0.3222, 0.5200, 0.4082], [0.4082, 0.3882, 0.5861], [0.1778, 0.0861, 0.6979], [0.6979, 0.5861, 0.1778], [0.0200, 0.6118, 0.6979], [0.1118, 0.4139, 0.0918], [0.8021, 0.4800, 0.3882], [0.9139, 0.0918, 0.6118], [0.3882, 0.9800, 0.8021], [0.4082, 0.0200, 0.3222], [0.8882, 0.5861, 0.9082], [0.6250, 0.3750, 0.7500], [0.2500, 0.6250, 0.8750], [0.3750, 0.7500, 0.6250], [0.7500, 0.8750, 0.6250], [0.6250, 0.2500, 0.3750], [0.3750, 0.6250, 0.2500], [0.8750, 0.7500, 0.1250], [0.1250, 0.2500, 0.8750], [0.1250, 0.8750, 0.7500], [0.8750, 0.1250, 0.2500], [0.7500, 0.3750, 0.1250], [0.2500, 0.1250, 0.3750]],
  "sg": "No. 230",
  "vol_a3_per_cell": 1864.2,
  "dft_energy_ev_per_cell": -404.592,
  "n_ef_per_ev_fu": 19.77
}